(1)
# TbDy2Pd, relaxed, DFT PBE-GGA
data_TbDy2Pd
_cell_length_a 3.7334
_cell_length_b 3.7334
_cell_length_c 28.5147
_cell_angle_alpha 90.00
_cell_angle_beta 90.00
_cell_angle_gamma 120.00
_symmetry_space_group_name_H-M 'R 3 m'
_symmetry_Int_Tables_number 160
_symmetry_space_group_name_Hall 'R 3 -2"'
loop_
_atom_site_label
_atom_site_type_symbol
_atom_site_fract_x
_atom_site_fract_y
_atom_site_fract_z
Tb1 Tb 0.0000 0.0000 0.0000
Dy1 Dy 0.0000 0.0000 0.5644
Dy2 Dy 0.0000 0.0000 0.7671
Pd1 Pd 0.0000 0.0000 0.1656
# Crystal system: trigonal
# DFT formation energy, eV per atom: -0.30

(2)
# Tb2Dy3Pd2, relaxed, DFT PBE-GGA
data_Tb2Dy3Pd2
_cell_length_a 3.7011
_cell_length_b 6.5921
_cell_length_c 8.3743
_cell_angle_alpha 84.14
_cell_angle_beta 77.37
_cell_angle_gamma 73.77
_symmetry_space_group_name_H-M 'P -1'
_symmetry_Int_Tables_number 2
_symmetry_space_group_name_Hall '-P 1'
loop_
_atom_site_label
_atom_site_type_symbol
_atom_site_fract_x
_atom_site_fract_y
_atom_site_fract_z
Tb1 Tb 0.1130 0.1492 0.1251
Dy1 Dy 0.3435 0.6006 0.2125
Dy2 Dy 0.5000 0.0000 0.5000
Pd1 Pd 0.1414 0.6448 0.5729
# Crystal system: triclinic
# DFT formation energy, eV per atom: -0.39

(3)
# TbDy2Pd3, relaxed, DFT PBE-GGA
data_TbDy2Pd3
_cell_length_a 5.0196
_cell_length_b 15.0574
_cell_length_c 3.4376
_cell_angle_alpha 90.00
_cell_angle_beta 90.00
_cell_angle_gamma 90.00
_symmetry_space_group_name_H-M 'P m m n'
_symmetry_Int_Tables_number 59
loop_
_symmetry_equiv_pos_as_xyz
'x,y,z'
'-x,-y,-z'
'-x+1/2,-y+1/2,z'
'x+1/2,y+1/2,-z'
'x+1/2,-y,-z'
'-x+1/2,y,z'
'-x,y+1/2,-z'
'x,-y+1/2,z'
loop_
_atom_site_label
_atom_site_type_symbol
_atom_site_fract_x
_atom_site_fract_y
_atom_site_fract_z
Tb1 Tb 0.2500 0.2500 0.0012
Dy1 Dy 0.2500 0.5833 0.9998
Pd1 Pd 0.2500 0.0821 0.5003
Pd2 Pd 0.2500 0.7500 0.4992
# Crystal system: orthorhombic
# DFT formation energy, eV per atom: -0.88

(4)
# TbDyTlPd, relaxed, DFT PBE-GGA
data_TbDyTlPd
_cell_length_a 7.3346
_cell_length_b 7.3346
_cell_length_c 7.3346
_cell_angle_alpha 90.00
_cell_angle_beta 90.00
_cell_angle_gamma 90.00
_symmetry_space_group_name_H-M 'F -4 3 m'
_symmetry_Int_Tables_number 216
_symmetry_space_group_name_Hall 'F -4 2 3'
loop_
_atom_site_label
_atom_site_type_symbol
_atom_site_fract_x
_atom_site_fract_y
_atom_site_fract_z
Tb1 Tb 0.0000 0.0000 0.0000
Dy1 Dy 0.0000 0.0000 0.5000
Tl1 Tl 0.2500 0.2500 0.7500
Pd1 Pd 0.2500 0.2500 0.2500
# Crystal system: cubic
# DFT formation energy, eV per atom: -0.54